! ZnNiW2 (GGA-PBE, optimized geometry); values from VASP
&SYSTEM
  ibrav = 0, nat = 4, ntyp = 3
/
ATOMIC_SPECIES
W 183.84 W.upf
Ni 58.69 Ni.upf
Zn 65.41 Zn.upf
CELL_PARAMETERS angstrom
-2.7031 -1.0637 2.8184
-1.3255 -1.4361 -1.8134
1.6741 -5.6024 -0.5088
ATOMIC_POSITIONS crystal
W 0.0000 0.4983 0.5039
W 0.0000 0.0017 0.9961
Ni 0.5000 0.7500 0.7500
Zn 0.5000 0.2500 0.2500
! - energy relative to the elements (eV per atom) = 0.21
! - SG = No. 10
! - uncorrected energy (eV per atom) = -8.029